Material: Sc3CdN
Method: DFT, PBE
State: optimized geometry

The space-group type is I-4m2. The uncorrected formation energy is 0.600 eV per atom.

Cell lengths 4.2359, 4.2359, 14.1066 Å; angles 81.37, 81.37, 90.00 degrees
Fractional positions:
Sc 0.1370 0.8930 0.2139
Sc 0.1070 0.8630 0.7861
Sc 0.1070 0.3509 0.7861
Sc 0.6491 0.8930 0.2139
Sc 0.3263 0.3263 0.3473
Sc 0.6737 0.6737 0.6527
N 0.6360 0.1360 0.7281
N 0.8640 0.3640 0.2719
Cd 0.0000 0.0000 0.0000
Cd 0.2500 0.7500 0.5000

=====

Material: SrRu2W
Method: DFT, PBE
State: optimized geometry

The relative energy among the computed polymorphs is 0.324 eV/atom. The formation energy is 0.60 eV per atom. The space-group type is Cm.

Cell lengths 5.1016, 5.1016, 5.7036 Å; angles 77.39, 77.39, 35.97 degrees
Fractional positions:
Ru 0.9954 0.9954 0.0295
Ru 0.7197 0.7197 0.8349
Sr 0.4949 0.4949 0.5201
W 0.2901 0.2901 0.1155

=====

Material: HgAs4Pb
Method: DFT, PBE
State: optimized geometry

The formation energy is 0.27 eV per atom. The space-group type is F-43m.

Cell lengths 5.8734, 5.8734, 5.8734 Å; angles 60.00, 60.00, 60.00 degrees
Fractional positions:
Hg 0.7500 0.7500 0.7500
As 0.8435 0.3855 0.3855
As 0.3855 0.3855 0.8435
As 0.3855 0.8435 0.3855
As 0.3855 0.3855 0.3855
Pb 0.0000 0.0000 0.0000

=====

Material: Hg2Te4Pt3
Method: DFT, PBE
State: optimized geometry

The space-group type is Ibam. The uncorrected formation energy is -0.077 eV per atom.

Cell lengths 9.8628, 9.8628, 9.8628 Å; angles 147.21, 107.77, 81.62 degrees
Fractional positions:
Hg 0.6355 0.8081 0.4437
Hg 0.1355 0.6919 0.8274
Hg 0.8645 0.3081 0.1726
Hg 0.3645 0.1919 0.5563
Te 0.9647 0.0566 0.3071
Te 0.2496 0.5566 0.0919
Te 0.5353 0.8424 0.0919
Te 0.0353 0.9434 0.6929
Te 0.7504 0.4434 0.9081
Te 0.4647 0.1576 0.9081
Te 0.2504 0.3424 0.3071
Te 0.7496 0.6576 0.6929
Pt 0.4904 0.7500 0.7404
Pt 0.0096 0.7500 0.2596
Pt 0.9904 0.2500 0.7404
Pt 0.7500 0.2500 0.5000
Pt 0.5096 0.2500 0.2596
Pt 0.2500 0.7500 0.5000

=====

Material: MnPbS2
Method: DFT, PBE
State: optimized geometry

The space-group type is P2_1/c. The uncorrected formation energy is -0.469 eV per atom.

Cell lengths 7.4051, 7.5614, 7.3025 Å; angles 90.00, 90.00, 84.16 degrees
Each line ends with the local moment (μB).
Fractional positions:
Mn 0.4048 0.8973 0.6766  4.23
Mn 0.5952 0.1027 0.3234  4.23
Mn 0.5952 0.6027 0.1766  4.23
Mn 0.4048 0.3973 0.8234  4.23
Pb 0.8625 0.2589 0.9222  0.04
Pb 0.1375 0.2411 0.4222  0.04
Pb 0.1375 0.7411 0.0778  0.04
Pb 0.8625 0.7589 0.5778  0.04
S 0.0984 0.9821 0.7583  0.05
S 0.9016 0.5179 0.2583  0.05
S 0.9016 0.0179 0.2417  0.05
S 0.0984 0.4821 0.7417  0.05
S 0.4265 0.3407 0.1552  0.09
S 0.4265 0.8407 0.3448  0.09
S 0.5735 0.6593 0.8448  0.09
S 0.5735 0.1593 0.6552  0.09

=====

Material: ErZr2N4
Method: DFT, PBE
State: optimized geometry

The space-group type is C2/m. The uncorrected formation energy is -1.232 eV per atom.

Cell lengths 3.3335, 6.2839, 5.5363 Å; angles 65.55, 90.00, 74.62 degrees
Each line ends with the local moment (μB).
Fractional positions:
Er 0.0000 0.0000 0.0000  -0.01
Zr 0.7105 0.5789 0.7066  0.00
Zr 0.2895 0.4211 0.2934  0.00
N 0.8598 0.2804 0.5499  0.10
N 0.1402 0.7196 0.4501  0.10
N 0.6432 0.7134 0.0062  0.13
N 0.3568 0.2866 0.9938  0.13

=====

Material: BeSb2Br
Method: DFT, PBE
State: optimized geometry

The relative energy among the computed polymorphs is 0.089 eV/atom. The space-group type is P1. The uncorrected formation energy is 0.015 eV per atom.

Cell lengths 8.7660, 8.0569, 8.0297 Å; angles 151.86, 151.27, 48.64 degrees
Fractional positions:
Sb 0.0345 0.0778 0.1097
Sb 0.3434 0.0777 0.7358
Br 0.7744 0.6615 0.0208
Be 0.3477 0.6829 0.1337

=====

Material: CaReHRh2
Method: DFT, PBE
State: optimized geometry

The space-group type is P4/mmm.

Cell lengths 4.0653, 4.1142, 4.0653 Å; angles 90.00, 90.00, 90.00 degrees
Each line ends with the local moment (μB).
Fractional positions:
Re 0.5000 0.5000 0.5000  1.00
Ca 0.0000 0.5000 0.0000  0.03
Rh 0.0000 0.0000 0.5000  0.07
Rh 0.5000 0.0000 0.0000  0.07
H 0.0000 0.0000 0.0000  0.00

=====

Material: TbAl3Ge3
Method: DFT, PBE
State: optimized geometry

The formation energy is -0.18 eV per atom. The space-group type is P6_3/m.

Cell lengths 4.0447, 10.0659, 10.0656 Å; angles 120.00, 90.00, 90.00 degrees
Fractional positions:
Tb 0.2500 0.6667 0.3333
Tb 0.7500 0.3333 0.6667
Al 0.2500 0.5863 0.9483
Al 0.2500 0.0517 0.6380
Al 0.2500 0.3620 0.4137
Al 0.7500 0.4137 0.0517
Al 0.7500 0.9483 0.3620
Al 0.7500 0.6380 0.5863
Ge 0.2500 0.1116 0.4128
Ge 0.2500 0.5872 0.6988
Ge 0.2500 0.3012 0.8883
Ge 0.7500 0.8884 0.5872
Ge 0.7500 0.4128 0.3012
Ge 0.7500 0.6988 0.1117

=====

Material: PrErNi
Method: DFT, PBE
State: optimized geometry

The relative energy among the computed polymorphs is 0.054 eV/atom. The formation energy is -0.19 eV per atom. The space-group type is I4mm.

Cell lengths 3.4576, 3.4576, 6.7562 Å; angles 104.83, 104.83, 90.00 degrees
Fractional positions:
Pr 0.0292 0.0292 0.0583
Ni 0.6784 0.6784 0.3568
Er 0.2924 0.2924 0.5849

=====

Material: Hf3AlPd4
Method: DFT, PBE
State: optimized geometry

The formation energy is -0.70 eV per atom. The space-group type is P4/mmm.

Cell lengths 4.3768, 7.2438, 8.7545 Å; angles 90.00, 90.00, 90.00 degrees
Fractional positions:
Hf 0.0000 0.0000 0.0000
Hf 0.0000 0.0000 0.5000
Hf 0.5000 0.0000 0.7500
Hf 0.5000 0.0000 0.2500
Hf 0.5000 0.5000 0.7500
Hf 0.5000 0.5000 0.2500
Al 0.0000 0.5000 0.0000
Al 0.0000 0.5000 0.5000
Pd 0.5000 0.7304 0.0000
Pd 0.5000 0.7304 0.5000
Pd 0.5000 0.2696 0.0000
Pd 0.5000 0.2696 0.5000
Pd 0.0001 0.7308 0.7500
Pd 0.9999 0.7308 0.2500
Pd 0.9999 0.2692 0.2500
Pd 0.0001 0.2692 0.7500

=====

Material: RbHfTl2O
Method: DFT, PBE
State: optimized geometry

The space-group type is P4/mmm. The uncorrected formation energy is 1.983 eV per atom.

Cell lengths 6.2488, 6.1426, 6.2488 Å; angles 90.00, 90.00, 90.00 degrees
Each line ends with the local moment (μB).
Fractional positions:
Tl 0.0000 0.0000 0.5000  0.04
Tl 0.5000 0.0000 0.0000  0.08
Hf 0.0000 0.5000 0.0000  1.22
O 0.5000 0.5000 0.5000  0.04
Rb 0.0000 0.0000 0.0000  0.10

=====

Calculated DFT total energy in order - -5.047, -7.695, -3.500, -3.554, -5.752, -9.084, -3.396, -6.189, -4.423, -5.231, -7.493, -2.140 eV per atom